1.
# KRb2SiSe4

A geometry-optimized KRb2SiSe4 structure (PBE-GGA, Alexandria via LeMat-Bulk).

Properties
* energy: -3.667 eV per atom
* crystal system: tetragonal
* symmetry: I-42m, No. 121
* E_form (uncorrected): -0.8675 eV/atom
* magnetization: 0.935 Bohr magnetons per cell

```
KRb2SiSe4
1.0
-4.1822 4.1822 4.0549
4.1822 -4.1822 4.0549
4.1822 4.1822 -4.0549
K Rb Si Se
1 2 1 4
direct
0.0000 0.0000 0.0000 K
0.0000 0.5000 0.5000 Rb
0.5000 0.0000 0.5000 Rb
0.5000 0.5000 0.0000 Si
0.1757 0.4909 0.0000 Se
0.4909 0.1757 0.0000 Se
0.5091 0.5091 0.6848 Se
0.8243 0.8243 0.3152 Se
```

***

2.
# K2RbSiSe4

A geometry-optimized K2RbSiSe4 structure (PBE-GGA, Alexandria via LeMat-Bulk).

Properties
* energy: -3.478 eV per atom
* crystal system: monoclinic
* symmetry: C2/c, No. 15
* E_form (uncorrected): -0.6627 eV/atom
* magnetization: 0.000 Bohr magnetons per cell

```
K2RbSiSe4
1.0
7.2272 -5.4558 0.0000
7.2272 5.4558 0.0000
-6.2244 0.0000 7.1645
K Rb Si Se
4 2 2 8
direct
0.0000 0.0000 0.0000 K
0.0000 0.0000 0.5000 K
0.0000 0.5000 0.0000 K
0.5000 0.0000 0.5000 K
0.0000 0.5000 0.5000 Rb
0.5000 0.0000 0.0000 Rb
0.5000 0.5000 0.0000 Si
0.5000 0.5000 0.5000 Si
0.2869 0.2866 0.2875 Se
0.2866 0.2869 0.7875 Se
0.2869 0.7132 0.0098 Se
0.2868 0.7131 0.4902 Se
0.7132 0.2869 0.5098 Se
0.7131 0.2868 0.9902 Se
0.7134 0.7131 0.2125 Se
0.7131 0.7134 0.7125 Se
```

***

3.
# KRbSiSe3

A geometry-optimized KRbSiSe3 structure (PBE-GGA, Alexandria via LeMat-Bulk).

Properties
* energy: -3.898 eV per atom
* crystal system: monoclinic
* symmetry: C2/m, No. 12
* E_form (uncorrected): -0.9075 eV/atom
* magnetization: 0.000 Bohr magnetons per cell

```
KRbSiSe3
1.0
4.7913 -4.9930 0.0000
4.7913 4.9930 0.0000
-0.4192 0.0000 10.0206
K Rb Si Se
2 2 2 6
direct
0.2373 0.7627 0.0000 K
0.7627 0.2373 0.0000 K
0.3148 0.3148 0.3784 Rb
0.6852 0.6852 0.6216 Rb
0.3239 0.3239 0.7888 Si
0.6761 0.6761 0.2112 Si
0.1831 0.5586 0.6865 Se
0.2555 0.2555 0.9961 Se
0.4414 0.8169 0.3135 Se
0.5586 0.1831 0.6865 Se
0.7445 0.7445 0.0039 Se
0.8169 0.4414 0.3135 Se
```

***

4.
# KRbSnSe2

A geometry-optimized KRbSnSe2 structure (PBE-GGA, Alexandria via LeMat-Bulk).

Properties
* energy: -3.469 eV per atom
* crystal system: monoclinic
* symmetry: C2/m, No. 12
* E_form (uncorrected): -0.8612 eV/atom
* magnetization: 0.000 Bohr magnetons per cell

```
KRbSnSe2
1.0
7.3252 -2.1648 0.0000
7.3252 2.1648 0.0000
-3.4097 0.0000 12.2166
K Rb Sn Se
2 2 2 4
direct
0.1447 0.1447 0.0296 K
0.8553 0.8553 0.9704 K
0.1554 0.1554 0.6380 Rb
0.8446 0.8446 0.3620 Rb
0.4538 0.4538 0.7884 Sn
0.5462 0.5462 0.2116 Sn
0.0955 0.0955 0.3524 Se
0.3615 0.3615 0.1642 Se
0.6385 0.6385 0.8358 Se
0.9045 0.9045 0.6476 Se
```